DFT (PBEsol) results for a relaxed structure of CaTaCu2.

Cell and atoms, written as POSCAR:
```
CaTaCu2
1.0
2.8137 0.0000 0.0000
0.0000 4.7002 0.0000
0.0000 0.0000 4.9439
Ca Ta Cu
1 1 2
direct
0.0000 0.0000 0.0000 Ca
0.0000 0.5000 0.5669 Ta
0.5000 0.0000 0.4863 Cu
0.5000 0.5000 0.0983 Cu
```

## Properties
Fermi-level density of states = 2.4 states/eV/f.u.
SG = No. 25
formation enthalpy at 0 K = 0.267 eV per atom
M_tot = 0.000 Bohr magnetons per cell